Cs2NiOsO6 | PBE with a Hubbard U | optimized geometry

Output
M_tot, μB per cell: 2.0
Energy, eV per atom: -5.704

a b c (Å): 5.1495 6.4550 6.4550
angles (deg): 120.00 90.00 90.00
Last column: nearest neighbours and their distance in Å.
Fractional coordinates of all 10 atoms:
1 O 0.2209 0.8652 0.1348  1 Os 1.89, 1 Ni 2.08
2 O 0.2209 0.2696 0.1348  1 Os 1.89, 1 Ni 2.08
3 O 0.7791 0.7304 0.8652  1 Os 1.89, 1 Ni 2.08
4 O 0.2209 0.8652 0.7304  1 Os 1.89, 1 Ni 2.08
5 O 0.7791 0.1348 0.8652  1 Os 1.89, 1 Ni 2.08
6 O 0.7791 0.1348 0.2696  1 Os 1.89, 1 Ni 2.08
7 Os 0.0000 0.0000 0.0000  6 O 1.89
8 Cs 0.2623 0.3333 0.6667  12 O 3.25-3.47
9 Cs 0.7377 0.6667 0.3333  12 O 3.25-3.47
10 Ni 0.5000 0.0000 0.0000  6 O 2.08